Record 1
The following is a GGA-PBEsol calculation of crystalline SrTcRu2 at its relaxed geometry, from Alexandria via LeMat-Bulk.

Lattice parameters (Å, degrees): 2.9550 4.8628 5.5876 102.29 90.00 107.69
Closest atoms and distances in Å follow each position.
Sites, in units of the cell vectors:
1 Ru 0.0016 0.0032 0.0059  2 Tc 2.47, 2 Ru 2.55
2 Ru 0.2781 0.5562 0.8342  2 Tc 2.47, 2 Ru 2.55
3 Sr 0.5028 0.0056 0.5069  2 Sr 2.95, 7 Ru 3.06-3.16, 3 Tc 3.10-3.28
4 Tc 0.7175 0.4349 0.1530  4 Ru 2.47

Properties
- ΔE_f: 2.7 eV per formula unit
- Space-group type: No. 8


Record 2
The following is a GGA-PBEsol calculation of crystalline Ca2LaFe at its relaxed geometry, from Alexandria via LeMat-Bulk.

Lattice parameters (Å, degrees): 4.4451 4.4451 6.3147 110.61 110.61 90.00
Closest atoms and distances in Å follow each position.
Sites, in units of the cell vectors:
1 Ca 0.7500 0.2500 0.5000  4 Ca 3.14
2 Ca 0.2500 0.7500 0.5000  4 Ca 3.14
3 Fe 0.5000 0.5000 0.0000  4 La 3.14
4 La 0.0000 0.0000 0.0000  4 Fe 3.14

Properties
- ΔE_f: 2.2 eV per formula unit
- Space-group type: No. 139


Record 3
The following is a GGA-PBEsol calculation of crystalline YCo2Br at its relaxed geometry, from Alexandria via LeMat-Bulk.

Lattice parameters (Å, degrees): 3.7697 3.7697 5.1640 111.41 111.41 90.00
Closest atoms and distances in Å follow each position.
Sites, in units of the cell vectors:
1 Y 0.5000 0.5000 0.0000  8 Co 2.67-2.91, 4 Br 2.91
2 Co 0.0000 0.0000 0.0000  4 Y 2.67, 4 Co 2.91, 4 Br 2.91
3 Co 0.7500 0.2500 0.5000  4 Br 2.67, 4 Co 2.91, 4 Y 2.91
4 Br 0.2500 0.7500 0.5000  8 Co 2.67-2.91, 4 Y 2.91

Properties
- Space-group type: No. 119
- ΔE_f (raw): 0.325 eV per atom